Entry 1:
Compound: TaNb12Mo6
Source: Alexandria
Functional: PBE
Structure: relaxed Values from VASP.

Quantum ESPRESSO input file:
```
&SYSTEM
  ibrav = 0, nat = 19, ntyp = 3
/
ATOMIC_SPECIES
Nb 92.91 Nb.upf
Mo 95.94 Mo.upf
Ta 180.95 Ta.upf
CELL_PARAMETERS angstrom
6.9555 0.6049 0.7247
-0.4566 6.9669 0.7247
-0.4566 -0.5319 6.9842
ATOMIC_POSITIONS crystal
Nb 0.1861 0.4832 0.5803
Nb 0.4832 0.5803 0.1861
Nb 0.9360 0.8598 0.6168
Nb 0.5803 0.1861 0.4832
Nb 0.4197 0.8139 0.5168
Nb 0.1402 0.3832 0.0640
Nb 0.8139 0.5168 0.4197
Nb 0.3832 0.0640 0.1402
Nb 0.8598 0.6168 0.9360
Nb 0.6168 0.9360 0.8598
Nb 0.0640 0.1402 0.3832
Nb 0.5168 0.4197 0.8139
Mo 0.7352 0.2617 0.1204
Mo 0.2617 0.1204 0.7352
Mo 0.2648 0.7383 0.8796
Mo 0.1204 0.7352 0.2617
Mo 0.8796 0.2648 0.7383
Mo 0.7383 0.8796 0.2648
Ta 0.0000 0.0000 0.0000
```

Output
- Symmetry: R-3 (148)
- N(E_F): 20.50 states/eV/cell
- Energy relative to the elements: 177.6 meV/atom
- Density: 9.0 Mg/m³

***

Entry 2:
Compound: BRuBr3
Source: Alexandria
Functional: PBE
Structure: relaxed Values from VASP.

Quantum ESPRESSO input file:
```
&SYSTEM
  ibrav = 0, nat = 5, ntyp = 3
/
ATOMIC_SPECIES
Ru 101.07 Ru.upf
Br 79.90 Br.upf
B 10.81 B.upf
CELL_PARAMETERS angstrom
-3.1595 -3.5303 0.2476
1.9637 -2.0250 -3.8144
2.9442 -2.4378 2.8098
ATOMIC_POSITIONS crystal
Ru 0.5000 0.5000 0.5000
Br 0.0000 0.0000 0.5000
Br 0.5000 0.0000 0.0000
Br 0.0000 0.5000 0.0000
B 0.0000 0.0000 0.0000
```

Output
- Symmetry: Pm-3m (221)
- N(E_F): 3.64 states/eV/cell
- ΔE to the lowest computed polymorph: 0.55 eV/f.u.
- Density: 5.5 Mg/m³
- ΔE_f (raw): 1.16 eV per atom

***

Question: N(E_F) of number 1 (TaNb12Mo6)?
Answer: 20.50 states/eV/cell

***

Question: Look up the density of the second one.
Answer: 5.5 Mg/m³

***

Question: What is the formula in the second record?
Answer: BRuBr3